A plane-wave DFT calculation with PBE was carried out for an optimized crystal structure of Li3Dy3ZrS8.

a b c (Å): 7.7714 7.7705 7.6266
angles (deg): 120.67 90.00 120.00
Last column: nearest neighbours and their distance in Å.
Positions (direct):
Li: 0.0000 0.5000 0.0000  6 S 2.71-2.72
Li: 0.5000 0.5000 0.0000  6 S 2.71-2.72
Li: 0.0000 0.0000 0.0000  6 S 2.71-2.72
S: 0.7504 0.5009 0.7510  3 Li 2.72, 3 Dy 2.72
S: 0.2496 0.4991 0.2490  3 Li 2.72, 3 Dy 2.72
S: 0.2361 0.9973 0.2589  1 Zr 2.60, 2 Li 2.71, 2 Dy 2.74
S: 0.2388 0.4776 0.7411  1 Zr 2.60, 2 Li 2.71, 2 Dy 2.74
S: 0.7639 0.0027 0.7411  1 Zr 2.60, 2 Li 2.71, 2 Dy 2.74
S: 0.2388 0.0027 0.7411  1 Zr 2.60, 2 Li 2.71, 2 Dy 2.74
S: 0.7612 0.5224 0.2589  1 Zr 2.60, 2 Li 2.71, 2 Dy 2.74
S: 0.7612 0.9973 0.2589  1 Zr 2.60, 2 Li 2.71, 2 Dy 2.74
Dy: 0.5000 0.5000 0.5000  6 S 2.72-2.74
Dy: 0.0000 0.5000 0.5000  6 S 2.72-2.74
Dy: 0.5000 0.0000 0.5000  6 S 2.72-2.74
Zr: 0.0000 0.0000 0.5000  6 S 2.60

Summary:
energy relative to the elements, uncorrected = -2585 kJ/mol of formula units
SG = R-3m, No. 166